10
Lattice="3.8876 0.0000 -0.9698 -0.3894 6.9642 -1.5608 0.3610 0.4436 9.7235" Properties=species:S:1:pos:R:3 comment="Ce4AuCl5, relaxed, DFT PBE" crystal_system=monoclinic dft_energy_ev_per_atom=-5.1459 raw_formation_energy_ev_per_atom=-1.5213 magmom_total_mub_per_cell=4.2 pbc="T T T"
Cl 3.2248 3.0901 4.6498
Cl 0.7897 0.7908 3.1656
Cl 0.6344 4.3177 2.5431
Cl 1.7491 3.4821 -1.2653
Cl 3.0695 6.6170 4.0274
Ce 2.4071 2.3500 1.3722
Ce 1.4521 5.0578 5.8207
Ce -0.0070 5.4449 -0.0281
Ce 3.8662 1.9629 7.2210
Au 1.9438 0.0000 -0.4849